[1]
Computed, not measured: a relaxed structure of Tl2CuIrO4 at the PBE level of DFT.

Structure (POSCAR):
```
Tl2CuIrO4
1.0
5.7589 0.0000 0.0000
2.8794 6.1273 0.0000
2.8794 0.0000 9.7091
O Ir Tl Cu
8 2 4 2
Direct
0.6941 0.9871 0.1353
0.1705 0.0129 0.1353
0.9334 0.4871 0.6353
0.3187 0.9871 0.8647
0.0559 0.5129 0.3647
0.4313 0.5129 0.6353
0.5795 0.4871 0.3647
0.8166 0.0129 0.8647
0.0000 0.0000 0.0000
0.7500 0.5000 0.5000
0.1783 0.0000 0.6434
0.9283 0.5000 0.1434
0.5717 0.5000 0.8566
0.8217 0.0000 0.3566
0.5000 0.0000 0.0000
0.2500 0.5000 0.5000
```

E_form (uncorrected) in eV/atom: -0.50
DFT total energy in eV/atom: -5.19
N(E_F) in states/eV/cell: 0.487

=====

[2]
Computed, not measured: a relaxed structure of TlCuIrO4 at the PBE level of DFT.

Structure (POSCAR):
```
TlCuIrO4
1.0
-5.3305 -2.5898 0.1794
3.1078 -0.0161 -5.8651
2.0744 -3.9480 4.6452
Ir O Tl Cu
2 8 2 2
Direct
0.5000 0.0000 0.0000
0.5000 0.0000 0.5000
0.6957 0.9731 0.2366
0.3012 0.6025 0.7462
0.3012 0.6025 0.3563
0.6988 0.3975 0.6437
0.7225 0.0269 0.7634
0.3043 0.0269 0.7634
0.2775 0.9731 0.2366
0.6988 0.3975 0.2538
0.8317 0.6635 0.0817
0.1683 0.3365 0.9183
0.5000 0.5000 0.5000
0.0000 0.5000 0.5000
```

E_form (uncorrected) in eV/atom: -0.63
DFT total energy in eV/atom: -5.65
N(E_F) in states/eV/cell: 6.295

=====

[3]
Computed, not measured: a relaxed structure of UCuIrO6 at the PBE level of DFT.

Structure (POSCAR):
```
UCuIrO6
1.0
5.1971 0.0000 0.0000
-2.5985 4.5008 0.0000
0.0000 0.0000 9.1354
U Cu Ir O
2 2 2 12
Direct
0.6667 0.3333 0.2500
0.3333 0.6667 0.7500
0.3333 0.6667 0.2500
0.6667 0.3333 0.7500
0.0000 0.0000 0.5000
0.0000 0.0000 0.0000
0.3140 0.3207 0.8770
0.6793 0.9933 0.8770
0.0067 0.6860 0.8770
0.6793 0.6860 0.6230
0.3140 0.9933 0.6230
0.3207 0.0067 0.1230
0.6860 0.6793 0.1230
0.0067 0.3207 0.6230
0.3207 0.3140 0.3770
0.9933 0.3140 0.1230
0.9933 0.6793 0.3770
0.6860 0.0067 0.3770
```

E_form (uncorrected) in eV/atom: -1.61
DFT total energy in eV/atom: -7.61
N(E_F) in states/eV/cell: 15.045